# 1
Below is NaCe2AsO8 after structural relaxation, with properties calculated at the PBE level.

```
NaCe2AsO8
1.0
4.3929 -0.0737 -0.0147
-0.0398 5.1113 0.1715
-0.0117 0.2783 7.1856
Na Ce As O
1 2 1 8
direct
0.0000 0.0000 0.5000 Na
0.4425 0.4532 0.7411 Ce
0.5575 0.5468 0.2589 Ce
0.0000 0.0000 0.0000 As
0.1171 0.7678 0.1929 O
0.6945 0.7421 0.9550 O
0.7529 0.1315 0.1803 O
0.8829 0.2322 0.8071 O
0.3055 0.2579 0.0450 O
0.2471 0.8685 0.8197 O
0.6824 0.6796 0.5282 O
0.3176 0.3204 0.4718 O
```

Values from the calculation:
The value obtained for the total energy is -6.831 eV/atom. Its symmetry is P-1 (2). Its calculated density is 5.22 g cm⁻³. Its formation energy from raw total energies is -2.04 eV/atom. Its spin magnetization is 0.17 μB per atom.

---

# 2
Below is NaCeAsO6 after structural relaxation, with properties calculated at the PBE level.

```
NaCeAsO6
1.0
-2.5854 3.7894 -1.0020
-1.7668 0.1537 5.1397
4.5040 2.7005 -1.4083
Na Ce As O
1 1 1 6
direct
0.5000 0.6667 0.3333 Na
0.0000 0.3333 0.6667 Ce
0.5000 0.0000 0.0000 As
0.7213 0.7047 0.7361 O
0.7213 0.2639 0.9685 O
0.7213 0.0315 0.2953 O
0.2787 0.2639 0.2953 O
0.2787 0.7047 0.9685 O
0.2787 0.0315 0.7361 O
```

Values from the calculation:
The value obtained for the total energy is -6.272 eV/atom. Its symmetry is P312 (149). As for the density of states at the Fermi level: 4.07 states/eV/f.u. Its calculated density is 4.61 g cm⁻³. Its formation energy from raw total energies is -1.64 eV/atom. Its spin magnetization is 0.22 μB per atom.

---

# 3
Below is NaCeAs2O8 after structural relaxation, with properties calculated at the PBE level.

```
NaCeAs2O8
1.0
-2.0435 2.1066 -4.2257
1.5591 -4.0452 -2.7706
-4.6989 -1.6704 4.5717
Na Ce As O
1 1 2 8
direct
0.7500 0.2500 0.5000 Na
0.0000 0.0000 0.0000 Ce
0.5000 0.5000 0.0000 As
0.2500 0.7500 0.5000 As
0.7283 0.8236 0.1528 O
0.4245 0.3292 0.1528 O
0.5798 0.6994 0.6682 O
0.0884 0.9688 0.6682 O
0.0312 0.4202 0.3318 O
0.3006 0.9116 0.3318 O
0.1764 0.5755 0.8472 O
0.6708 0.2717 0.8472 O
```

Values from the calculation:
The value obtained for the total energy is -6.410 eV/atom. Its symmetry is I-4 (82). As for the density of states at the Fermi level: 8.53 states/eV/f.u. Its calculated density is 4.85 g cm⁻³. Its formation energy from raw total energies is -1.72 eV/atom. Its spin magnetization is 0.09 μB per atom.

---

# 4
Below is Na2CeAs2Pd after structural relaxation, with properties calculated at the PBE level.

```
Na2CeAs2Pd
1.0
-0.4972 -3.2549 2.7259
7.2725 -0.9904 0.1438
0.6049 5.3928 6.5498
Na Ce As Pd
4 2 4 2
direct
0.5000 0.0299 0.0743 Na
0.0000 0.3633 0.1561 Na
0.5000 0.5299 0.9257 Na
0.0000 0.8633 0.8439 Na
0.0000 0.9800 0.4473 Ce
0.0000 0.4800 0.5527 Ce
0.0000 0.2516 0.8248 As
0.5000 0.2684 0.3801 As
0.0000 0.7516 0.1752 As
0.5000 0.7684 0.6199 As
0.5000 0.1524 0.6682 Pd
0.5000 0.6524 0.3318 Pd
```

Values from the calculation:
The value obtained for the total energy is -4.599 eV/atom. Its symmetry is Pmc2_1 (26). As for the density of states at the Fermi level: 2.87 states/eV/f.u. Its calculated density is 5.50 g cm⁻³. The calculation puts the calculated formation energy at -4.53 eV/f.u. Its spin magnetization is 0.03 μB per atom.

---

# 5
Below is NaCeAs2Pt4 after structural relaxation, with properties calculated at the PBE level.

```
NaCeAs2Pt4
1.0
-0.9716 3.7245 -1.1290
-3.8369 -0.7218 0.9207
1.7218 3.4424 9.8745
Na Ce As Pt
1 1 2 4
direct
0.0000 0.0000 0.5000 Na
0.0000 0.0000 0.0000 Ce
0.5000 0.5000 0.3478 As
0.5000 0.5000 0.6522 As
0.0000 0.5000 0.2050 Pt
0.5000 0.0000 0.7950 Pt
0.5000 0.0000 0.2050 Pt
0.0000 0.5000 0.7950 Pt
```

Values from the calculation:
The value obtained for the total energy is -5.667 eV/atom. Its symmetry is P4/mmm (123). As for the density of states at the Fermi level: 7.19 states/eV/f.u. Its calculated density is 10.65 g cm⁻³. The calculation puts the calculated formation energy at -4.62 eV/f.u. Its spin magnetization is 0.07 μB per atom.

---

# 6
Below is NaCe2PuAs4 after structural relaxation, with properties calculated at the PBE level.

```
NaCe2PuAs4
1.0
4.2472 0.0000 0.0000
0.0000 7.2910 0.0835
0.0000 -2.4650 6.7546
Na Ce Pu As
1 2 1 4
direct
0.5000 0.5000 0.0000 Na
0.5000 0.0000 0.5000 Ce
0.0000 0.5000 0.5000 Ce
0.0000 0.0000 0.0000 Pu
0.5000 0.2438 0.2529 As
0.5000 0.7562 0.7471 As
0.0000 0.2351 0.7356 As
0.0000 0.7649 0.2644 As
```

Values from the calculation:
The value obtained for the total energy is -6.760 eV/atom. Its symmetry is P2/m (10). As for the density of states at the Fermi level: 16.87 states/eV/f.u. Its calculated density is 6.70 g cm⁻³. The calculation puts the calculated formation energy at -7.96 eV/f.u. Its spin magnetization is 0.64 μB per atom.

---

# 7
Below is NaCeAs2Rh5 after structural relaxation, with properties calculated at the PBE level.

```
NaCeAs2Rh5
1.0
4.1427 0.0000 0.0000
0.0000 4.1427 0.0000
0.0000 0.0000 9.1986
Na Ce As Rh
1 1 2 5
direct
0.0000 0.0000 0.0000 Na
0.0000 0.0000 0.5000 Ce
0.5000 0.5000 0.1435 As
0.5000 0.5000 0.8565 As
0.0000 0.5000 0.2760 Rh
0.5000 0.0000 0.2760 Rh
0.0000 0.5000 0.7240 Rh
0.5000 0.0000 0.7240 Rh
0.5000 0.5000 0.5000 Rh
```

Values from the calculation:
The value obtained for the total energy is -6.527 eV/atom. Its symmetry is P4/mmm (123). As for the density of states at the Fermi level: 4.55 states/eV/f.u. Its calculated density is 8.70 g cm⁻³. The calculation puts the calculated formation energy at -5.43 eV/f.u. Its spin magnetization is 0.00 μB per atom.

---

# 8
Below is Na2CeAsSe4 after structural relaxation, with properties calculated at the PBE level.

```
Na2CeAsSe4
1.0
4.1914 0.0000 0.0000
0.0000 7.1544 0.1046
0.0000 -2.5151 6.8914
Na Ce As Se
2 1 1 4
direct
0.5000 0.0000 0.5000 Na
0.0000 0.5000 0.5000 Na
0.5000 0.5000 0.0000 Ce
0.0000 0.0000 0.0000 As
0.5000 0.2241 0.2197 Se
0.5000 0.7759 0.7803 Se
0.0000 0.2412 0.7706 Se
0.0000 0.7588 0.2294 Se
```

Values from the calculation:
The value obtained for the total energy is -4.433 eV/atom. Its symmetry is P2/m (10). As for the density of states at the Fermi level: 7.10 states/eV/f.u. Its calculated density is 4.61 g cm⁻³. Its formation energy from raw total energies is -1.04 eV/atom. Its spin magnetization is 0.10 μB per atom.